First-principles (PBE) data for an optimized crystal structure of K2CrPb, as listed in Alexandria.

The structure in extended XYZ format:
```
4
Lattice="3.928 0.000 0.000 0.000 3.928 0.000 0.000 0.000 10.202" Properties=species:S:1:pos:R:3 pbc="T T T"
K 0.000 0.000 0.000
K 1.964 1.964 4.005
Cr 1.964 1.964 7.564
Pb 0.000 0.000 6.548
```

Results
Size of the total moment (μB per cell): 4.32
Symmetry: P4mm (99)
Fermi-level density of states (states/eV per cell): 1.315
Crystal system: tetragonal
Calculated formation energy (eV per atom): 0.350
Calculated volume (Å³ per atom): 39.36


First-principles (PBE) data for an optimized crystal structure of K2CrPb, as listed in Alexandria.

The structure in extended XYZ format:
```
4
Lattice="-2.395 2.395 5.789 2.395 -2.395 5.789 2.395 2.395 -5.789" Properties=species:S:1:pos:R:3 pbc="T T T"
K 0.000 0.000 2.888
K 0.000 0.000 8.690
Cr 2.395 0.000 0.000
Pb 0.000 2.395 0.000
```

Results
Size of the total moment (μB per cell): 4.65
Symmetry: Immm (71)
Fermi-level density of states (states/eV per cell): 1.790
Crystal system: orthorhombic
Calculated formation energy (eV per atom): 0.528
Calculated volume (Å³ per atom): 33.20


First-principles (PBE) data for an optimized crystal structure of K2CrPb, as listed in Alexandria.

The structure in extended XYZ format:
```
4
Lattice="3.129 -5.551 0.000 3.129 5.551 0.000 -0.031 0.000 4.013" Properties=species:S:1:pos:R:3 pbc="T T T"
K 1.564 2.776 0.000
K 1.564 -2.776 0.000
Cr -0.016 0.000 2.006
Pb 3.113 0.000 2.006
```

Results
Size of the total moment (μB per cell): 4.58
Symmetry: C2/m (12)
Fermi-level density of states (states/eV per cell): 2.164
Crystal system: monoclinic
Calculated formation energy (eV per atom): 0.552
Calculated volume (Å³ per atom): 34.85


First-principles (PBE) data for an optimized crystal structure of K2CrPb, as listed in Alexandria.

The structure in extended XYZ format:
```
8
Lattice="-6.275 6.275 2.662 6.275 -6.275 2.662 6.275 6.275 -2.662" Properties=species:S:1:pos:R:3 pbc="T T T"
K 1.076 3.137 0.665
K -3.137 5.198 1.996
K -1.076 9.412 0.665
K 3.137 7.351 1.996
Cr 0.000 0.000 0.000
Cr 0.000 6.275 1.331
Pb 6.275 0.000 1.331
Pb 0.000 0.000 2.662
```

Results
Size of the total moment (μB per cell): 8.00
Symmetry: I-42d (122)
Fermi-level density of states (states/eV per cell): 3.995
Crystal system: tetragonal
Calculated formation energy (eV per atom): 0.494
Calculated volume (Å³ per atom): 52.40


First-principles (PBE) data for an optimized crystal structure of K2CrPb, as listed in Alexandria.

The structure in extended XYZ format:
```
4
Lattice="2.561 1.478 6.625 -2.561 1.478 6.625 0.000 -2.957 6.625" Properties=species:S:1:pos:R:3 pbc="T T T"
K 0.000 0.000 0.000
K 0.000 0.000 4.120
Cr 0.000 0.000 8.691
Pb 0.000 0.000 15.314
```

Results
Size of the total moment (μB per cell): 3.97
Symmetry: R3m (160)
Fermi-level density of states (states/eV per cell): 1.672
Crystal system: trigonal
Calculated formation energy (eV per atom): 0.329
Calculated volume (Å³ per atom): 37.62


First-principles (PBE) data for an optimized crystal structure of K2CrPb, as listed in Alexandria.

The structure in extended XYZ format:
```
4
Lattice="-2.419 3.058 5.141 2.419 -3.058 5.141 2.419 3.058 -5.141" Properties=species:S:1:pos:R:3 pbc="T T T"
K 0.000 0.000 0.000
K 0.000 3.058 2.014
Cr 0.000 0.000 4.182
Pb 2.419 0.000 2.856
```

Results
Size of the total moment (μB per cell): 4.00
Symmetry: Imm2 (44)
Fermi-level density of states (states/eV per cell): 1.649
Crystal system: orthorhombic
Calculated formation energy (eV per atom): 0.364
Calculated volume (Å³ per atom): 38.03


First-principles (PBE) data for an optimized crystal structure of K2CrPb, as listed in Alexandria.

The structure in extended XYZ format:
```
4
Lattice="-2.829 2.829 3.997 2.829 -2.829 3.997 2.829 2.829 -3.997" Properties=species:S:1:pos:R:3 pbc="T T T"
K 0.000 0.000 0.000
K 0.000 2.829 1.999
Cr 2.829 0.000 1.999
Pb 0.000 0.000 3.997
```

Results
Size of the total moment (μB per cell): 3.98
Symmetry: I-4m2 (119)
Fermi-level density of states (states/eV per cell): 1.662
Crystal system: tetragonal
Calculated formation energy (eV per atom): 0.442
Calculated volume (Å³ per atom): 32.00


First-principles (PBE) data for an optimized crystal structure of K2CrPb, as listed in Alexandria.

The structure in extended XYZ format:
```
4
Lattice="1.822 1.052 12.170 -1.822 1.052 12.170 0.000 -2.104 12.170" Properties=species:S:1:pos:R:3 pbc="T T T"
K 0.000 0.000 9.066
K 0.000 0.000 27.444
Cr 0.000 0.000 18.255
Pb 0.000 0.000 0.000
```

Results
Size of the total moment (μB per cell): 5.20
Symmetry: R-3m (166)
Fermi-level density of states (states/eV per cell): 3.381
Crystal system: trigonal
Calculated formation energy (eV per atom): 0.672
Calculated volume (Å³ per atom): 34.98


Question: Which value of size of the total moment does entry 4 give?
Answer: 8.00 μB per cell